Below is Ba2PmN after structural relaxation, with properties calculated at the GGA-PBE level.

Summary:
Symmetry: R-3m, No. 166
Uncorrected formation energy, eV per atom: -0.095
D(E_F), states/eV/f.u.: 2.19

Lattice parameters (Å, degrees): 3.8693 3.8693 11.1961 80.05 80.05 60.00
With the nearest neighbours (Å) after each atom.
Element x y z (fractional)
N 0.5000 0.5000 0.5000  6 Ba 2.72
Ba 0.1194 0.1194 0.6418  3 N 2.72
Ba 0.8806 0.8806 0.3582  3 N 2.72
Pm 0.0000 0.0000 0.0000  6 Pm 3.87, 2 Ba 3.93

Below is BaPmN after structural relaxation, with properties calculated at the GGA-PBE level.

Summary:
Energy relative to the lowest polymorph listed for this composition, meV per atom: 45.0
Symmetry: Cmcm, No. 63
Uncorrected formation energy, eV per atom: -0.617
D(E_F), states/eV/f.u.: 1.93

Lattice parameters (Å, degrees): 3.6517 3.6126 13.5439 90.00 97.75 90.00
With the nearest neighbours (Å) after each atom.
Element x y z (fractional)
Pm 0.2048 0.2500 0.4095  5 N 2.30-2.57
Pm 0.7952 0.7500 0.5905  5 N 2.30-2.57
N 0.7095 0.7500 0.4190  5 Pm 2.30-2.57
Ba 0.4299 0.7500 0.8598  4 Ba 3.61-3.65
N 0.2905 0.2500 0.5810  5 Pm 2.30-2.57
Ba 0.5701 0.2500 0.1402  4 Ba 3.61-3.65